[1]
Crystalline BaRh at its relaxed geometry, computed with PBE-GGA.

Cell: 4.5793 12.9983 5.9937 Å, 90.00 90.00 90.00°
Space group Imm2 (No. 44)
Unique sites:
Ba1 0.0000 0.0000 0.0000 [2 per cell]
Ba2 0.0000 0.2605 0.3988 [4 per cell]
Rh1 0.0000 0.0000 0.4822 [2 per cell]
Rh2 0.0000 0.3985 0.9094 [4 per cell]

Computed properties:
The crystal system is orthorhombic. As for the calculated formation energy: 0.02 eV per atom.

=====

[2]
Crystalline BaRh at its relaxed geometry, computed with PBE-GGA.

Cell: 10.5116 10.5116 5.0245 Å, 90.00 90.00 90.00°
Space group I4/m (No. 87)
Unique sites:
Ba1 0.0851 0.7416 0.0000 [8 per cell]
Rh1 0.0677 0.1552 0.5000 [8 per cell]

Computed properties:
The crystal system is tetragonal. As for the calculated formation energy: 0.06 eV per atom.

=====

[3]
Crystalline Ba2Rh at its relaxed geometry, computed with PBE-GGA.

Cell: 3.8823 3.8823 15.6288 Å, 90.00 90.00 90.00°
Space group I4/mmm (No. 139)
Unique sites:
Ba1 0.0000 0.0000 0.1143 [4 per cell]
Rh1 0.0000 0.0000 0.5000 [2 per cell]

Computed properties:
The crystal system is tetragonal. As for the calculated formation energy: -0.08 eV per atom.

=====

[4]
Crystalline Ba5Rh at its relaxed geometry, computed with PBE-GGA.

Cell: 4.4469 20.5612 6.7296 Å, 90.00 90.00 90.00°
Space group Cmmm (No. 65)
Unique sites:
Ba1 0.0000 0.0000 0.0000 [2 per cell]
Ba2 0.0000 0.1035 0.5000 [4 per cell]
Ba3 0.0000 0.3335 0.0000 [4 per cell]
Rh1 0.0000 0.5000 0.5000 [2 per cell]

Computed properties:
The crystal system is orthorhombic. As for the calculated formation energy: 0.10 eV per atom. Its excess energy over the best structure of this formula in the dataset is 0.1588 eV/atom.

=====

[5]
Crystalline Ba2Rh at its relaxed geometry, computed with PBE-GGA.

Cell: 4.5733 7.8913 14.5721 Å, 90.00 90.00 90.00°
Space group Cmc2_1 (No. 36)
Unique sites:
Ba1 0.0000 0.0075 0.0000 [4 per cell]
Ba2 0.0000 0.3400 0.7759 [4 per cell]
Rh1 0.0000 0.3258 0.3885 [4 per cell]

Computed properties:
The crystal system is orthorhombic. As for the calculated formation energy: -0.14 eV per atom.

=====

[6]
Crystalline Ba5Rh at its relaxed geometry, computed with PBE-GGA.

Cell: 9.3544 9.3544 4.4251 Å, 90.00 90.00 120.00°
Space group P-62m (No. 189)
Unique sites:
Ba1 0.0000 0.7640 0.0000 [3 per cell]
Ba2 0.3333 0.6667 0.5000 [2 per cell]
Rh1 0.0000 0.0000 0.5000 [1 per cell]

Computed properties:
The crystal system is hexagonal. As for the calculated formation energy: 0.14 eV per atom. Its excess energy over the best structure of this formula in the dataset is 0.2034 eV/atom.

=====

[7]
Crystalline BaRh at its relaxed geometry, computed with PBE-GGA.

Cell: 11.5196 11.5196 4.1460 Å, 90.00 90.00 90.00°
Space group I4/m (No. 87)
Unique sites:
Ba1 0.0942 0.2302 0.0000 [8 per cell]
Rh1 0.0621 0.4055 0.5000 [8 per cell]

Computed properties:
The crystal system is tetragonal. As for the calculated formation energy: 0.11 eV per atom.

=====

[8]
Crystalline Ba5Rh at its relaxed geometry, computed with PBE-GGA.

Cell: 4.0641 4.0641 17.8690 Å, 90.00 90.00 90.00°
Space group P4/mmm (No. 123)
Unique sites:
Ba1 0.0000 0.0000 0.0000 [1 per cell]
Ba2 0.0000 0.0000 0.4017 [2 per cell]
Ba3 0.5000 0.5000 0.1933 [2 per cell]
Rh1 0.5000 0.5000 0.5000 [1 per cell]

Computed properties:
The crystal system is tetragonal. As for the calculated formation energy: 0.02 eV per atom. Its excess energy over the best structure of this formula in the dataset is 0.0829 eV/atom.